1.
{
  "formula": "CaMnPt2",
  "functional": "SCAN",
  "state": "single point on PBEsol structure",
  "lattice_angstrom": [[-1.962, 1.486, 1.721], [-2.930, -0.074, -0.656], [-2.574, -6.568, 5.357]],
  "species": ["Mn", "Pt", "Ca", "Pt"],
  "fractional_positions": [[0.500, 0.500, 0.500], [0.757, 0.757, 0.730], [0.000, 0.000, 0.000], [0.243, 0.243, 0.270]],
  "spacegroup": "R-3m, No. 166",
  "crystal_system": "trigonal",
  "delta_e_f_ev_per_atom": -0.334
}

2.
{
  "formula": "CaMnPt2",
  "functional": "SCAN",
  "state": "single point on PBEsol structure",
  "lattice_angstrom": [[-2.275, -0.652, -2.001], [1.351, -2.625, -0.681], [-3.691, -3.263, 5.260]],
  "species": ["Pt", "Mn", "Pt", "Ca"],
  "fractional_positions": [[0.000, 0.000, 0.290], [0.500, 0.500, 0.500], [0.000, 0.000, 0.710], [0.500, 0.500, 0.000]],
  "spacegroup": "Pmmm, No. 47",
  "crystal_system": "orthorhombic",
  "delta_e_f_ev_per_atom": -0.819
}

3.
{
  "formula": "Ca2MnRe",
  "functional": "SCAN",
  "state": "single point on PBEsol structure",
  "lattice_angstrom": [[-0.984, 2.932, -0.138], [-0.767, -0.117, 2.997], [8.159, 2.841, 2.197]],
  "species": ["Re", "Mn", "Ca", "Ca"],
  "fractional_positions": [[0.500, 0.500, 0.682], [0.000, 0.000, 0.564], [0.500, 0.500, 0.322], [0.000, 0.000, 0.932]],
  "spacegroup": "P4mm, No. 99",
  "crystal_system": "tetragonal",
  "delta_e_f_ev_per_atom": 0.368
}

4.
{
  "formula": "CaMnRe2",
  "functional": "SCAN",
  "state": "single point on PBEsol structure",
  "lattice_angstrom": [[-2.802, 1.177, -0.090], [-1.172, -2.801, -0.128], [-0.312, -0.196, 7.170]],
  "species": ["Re", "Mn", "Ca", "Re"],
  "fractional_positions": [[0.000, 0.000, 0.322], [0.500, 0.500, 0.500], [0.500, 0.500, 0.000], [0.000, 0.000, 0.678]],
  "spacegroup": "P4/mmm, No. 123",
  "crystal_system": "tetragonal",
  "delta_e_f_ev_per_atom": 0.517
}

5.
{
  "formula": "CaMnRe3",
  "functional": "SCAN",
  "state": "single point on PBEsol structure",
  "lattice_angstrom": [[4.499, 0.000, 0.000], [0.000, 4.499, 0.000], [0.000, 0.000, 4.499]],
  "species": ["Ca", "Mn", "Re", "Re", "Re"],
  "fractional_positions": [[0.000, 0.000, 0.000], [0.500, 0.500, 0.500], [0.000, 0.000, 0.500], [0.500, 0.000, 0.000], [0.000, 0.500, 0.000]],
  "spacegroup": "Pm-3m, No. 221",
  "crystal_system": "cubic",
  "delta_e_f_ev_per_atom": 3.237
}

6.
{
  "formula": "CaMnRh2",
  "functional": "SCAN",
  "state": "single point on PBEsol structure",
  "lattice_angstrom": [[-2.168, 0.603, -2.352], [-0.651, -3.183, -0.216], [-4.593, 0.640, 4.398]],
  "species": ["Ca", "Rh", "Rh", "Mn"],
  "fractional_positions": [[0.000, 0.000, 0.484], [0.000, 0.000, 0.971], [0.500, 0.500, 0.215], [0.500, 0.500, 0.830]],
  "spacegroup": "P4mm, No. 99",
  "crystal_system": "tetragonal",
  "delta_e_f_ev_per_atom": -0.054
}

7.
{
  "formula": "CaMnRu2",
  "functional": "SCAN",
  "state": "single point on PBEsol structure",
  "lattice_angstrom": [[-1.974, -0.114, -2.055], [0.317, -1.807, -2.183], [-4.819, -6.749, 3.026]],
  "species": ["Ru", "Mn", "Ru", "Ca"],
  "fractional_positions": [[0.261, 0.261, 0.217], [0.000, 0.000, 0.000], [0.739, 0.739, 0.783], [0.500, 0.500, 0.500]],
  "e_above_lowest_polymorph_ev_per_atom": 0.115,
  "spacegroup": "R-3m, No. 166",
  "crystal_system": "trigonal",
  "delta_e_f_ev_per_atom": 0.406
}

8.
{
  "formula": "Ca3MnRu",
  "functional": "SCAN",
  "state": "single point on PBEsol structure",
  "lattice_angstrom": [[5.176, 0.000, 0.000], [0.000, 5.176, 0.000], [0.000, 0.000, 5.176]],
  "species": ["Ca", "Ru", "Ca", "Mn", "Ca"],
  "fractional_positions": [[0.000, 0.000, 0.500], [0.500, 0.500, 0.500], [0.000, 0.500, 0.000], [0.000, 0.000, 0.000], [0.500, 0.000, 0.000]],
  "spacegroup": "Pm-3m, No. 221",
  "crystal_system": "cubic",
  "delta_e_f_ev_per_atom": 1.089
}

9.
{
  "formula": "CaMnRu2",
  "functional": "SCAN",
  "state": "single point on PBEsol structure",
  "lattice_angstrom": [[-4.072, -0.809, 1.568], [-0.586, -0.862, 4.313], [-2.006, 2.979, 2.606]],
  "species": ["Ca", "Mn", "Ru", "Ru"],
  "fractional_positions": [[0.500, 0.500, 0.500], [0.250, 0.250, 0.250], [0.750, 0.750, 0.750], [0.000, 0.000, 0.000]],
  "e_above_lowest_polymorph_ev_per_atom": 0.060,
  "spacegroup": "F-43m, No. 216",
  "crystal_system": "cubic",
  "delta_e_f_ev_per_atom": 0.352
}

10.
{
  "formula": "CaMnRu3",
  "functional": "SCAN",
  "state": "single point on PBEsol structure",
  "lattice_angstrom": [[-0.095, 1.584, 4.119], [3.927, -1.849, 0.802], [2.014, 3.681, -1.370]],
  "species": ["Ru", "Mn", "Ca", "Ru", "Ru"],
  "fractional_positions": [[0.000, 0.500, 0.000], [0.000, 0.000, 0.000], [0.500, 0.500, 0.500], [0.500, 0.000, 0.000], [0.000, 0.000, 0.500]],
  "spacegroup": "Pm-3m, No. 221",
  "crystal_system": "cubic",
  "delta_e_f_ev_per_atom": 0.732
}

11.
{
  "formula": "CaMnRu2",
  "functional": "SCAN",
  "state": "single point on PBEsol structure",
  "lattice_angstrom": [[2.961, 0.000, 0.000], [0.000, 4.456, 0.000], [0.000, 0.000, 4.639]],
  "species": ["Ru", "Ca", "Mn", "Ru"],
  "fractional_positions": [[0.000, 0.000, 0.000], [0.500, 0.500, 0.000], [0.000, 0.500, 0.500], [0.500, 0.000, 0.500]],
  "e_above_lowest_polymorph_ev_per_atom": 0.100,
  "spacegroup": "Pmmm, No. 47",
  "crystal_system": "orthorhombic",
  "delta_e_f_ev_per_atom": 0.392
}

12.
{
  "formula": "CaMnRu2",
  "functional": "SCAN",
  "state": "single point on PBEsol structure",
  "lattice_angstrom": [[3.037, 0.000, 0.000], [0.000, 3.037, 0.000], [0.000, 0.000, 6.977]],
  "species": ["Ca", "Ru", "Mn", "Ru"],
  "fractional_positions": [[0.000, 0.000, 0.500], [0.500, 0.500, 0.196], [0.500, 0.500, 0.829], [0.000, 0.000, 0.975]],
  "e_above_lowest_polymorph_ev_per_atom": 0.088,
  "spacegroup": "P4mm, No. 99",
  "crystal_system": "tetragonal",
  "delta_e_f_ev_per_atom": 0.380
}

13.
{
  "formula": "CaMnRu2",
  "functional": "SCAN",
  "state": "single point on PBEsol structure",
  "lattice_angstrom": [[-1.739, -2.171, 0.465], [4.078, -1.788, -1.649], [0.745, 0.488, 5.064]],
  "species": ["Ru", "Ca", "Ru", "Mn"],
  "fractional_positions": [[0.278, 0.556, 0.315], [0.500, 0.000, 0.000], [0.722, 0.444, 0.685], [0.000, 0.000, 0.500]],
  "e_above_lowest_polymorph_ev_per_atom": 0.000,
  "spacegroup": "C2/m, No. 12",
  "crystal_system": "monoclinic",
  "delta_e_f_ev_per_atom": 0.291
}

14.
{
  "formula": "Ca4MnRu",
  "functional": "SCAN",
  "state": "single point on PBEsol structure",
  "lattice_angstrom": [[6.009, 0.000, 0.000], [3.005, 5.204, 0.000], [3.005, 1.735, 4.906]],
  "species": ["Mn", "Ca", "Ca", "Ru", "Ca", "Ca"],
  "fractional_positions": [[0.750, 0.750, 0.750], [0.374, 0.374, 0.374], [0.878, 0.374, 0.374], [0.000, 0.000, 0.000], [0.374, 0.374, 0.878], [0.374, 0.878, 0.374]],
  "spacegroup": "F-43m, No. 216",
  "crystal_system": "cubic",
  "delta_e_f_ev_per_atom": 1.023
}

| no. | final energy (eV/atom) |
| --- | --- |
| 1 | -42.41 |
| 2 | -42.90 |
| 3 | -26.80 |
| 4 | -42.01 |
| 5 | -45.01 |
| 6 | -23.92 |
| 7 | -23.99 |
| 8 | -15.33 |
| 9 | -24.04 |
| 10 | -25.75 |
| 11 | -24.00 |
| 12 | -24.01 |
| 13 | -24.10 |
| 14 | -14.27 |